Record 1
Density functional theory data (PBE-GGA) for an optimized crystal structure of MnInW.

Properties
- crystal system = orthorhombic
- ΔE to the lowest computed polymorph (eV per atom) = 0.104
- D(E_F) (states/eV/cell) = 2.23
- formation enthalpy at 0 K (eV/atom) = 0.43
- V (Å³/atom) = 16.79

a b c (Å): 7.007 6.810 2.844
angles (deg): 82.03 74.27 23.70
Site moments in Bohr magnetons follow the coordinates.
Atoms (fractional coordinates):
Mn: 0.324 0.324 0.676  2.52
In: 0.996 0.996 0.004  -0.03
W: 0.680 0.680 0.320  -0.20

Record 2
Density functional theory data (PBE-GGA) for an optimized crystal structure of BeRh3.

Properties
- crystal system = orthorhombic
- D(E_F) (states/eV/cell) = 4.92
- formation enthalpy at 0 K (eV/atom) = -0.20
- V (Å³/atom) = 12.67

a b c (Å): 4.950 4.950 4.950
angles (deg): 147.17 128.88 62.09
Atoms (fractional coordinates):
Rh: 0.583 0.500 0.083
Rh: 0.868 0.285 0.583
Rh: 0.299 0.715 0.583
Be: 0.083 0.000 0.083

Raw total energy (computed, eV/cell): -23.58, -26.60